## ScTcSe2 (PBE)

Data for a relaxed ScTcSe2 crystal.

```
data_ScTcSe2
_chemical_formula_sum 'Sc3 Tc3 Se6'
_cell_length_a 4.0090
_cell_length_b 4.0090
_cell_length_c 15.8083
_cell_angle_alpha 90.00
_cell_angle_beta 90.00
_cell_angle_gamma 120.00
_space_group_name_H-M_alt 'R -3 m'
_space_group_IT_number 166
_space_group_name_Hall '-R 3 2"'
loop_
_atom_site_label
_atom_site_fract_x
_atom_site_fract_y
_atom_site_fract_z
Sc1 0.0000 0.0000 0.0000
Tc1 0.0000 0.0000 0.5000
Se1 0.0000 0.0000 0.2391
```

Output
**Volume**: 220.05 Å³/cell
**ΔE_f (raw)**: -2.6 eV per formula unit
**Excess energy over the best structure of this formula in the dataset**: 0.0474 eV per atom
**Mass density**: 6.81 Mg/m³
**Crystal system**: trigonal

---

## Sr2LaZnIr (PBE)

Data for a relaxed Sr2LaZnIr crystal.

```
data_Sr2LaZnIr
_chemical_formula_sum 'Sr2 La1 Zn1 Ir1'
_cell_length_a 5.921
_cell_length_b 5.921
_cell_length_c 5.426
_cell_angle_alpha 90.00
_cell_angle_beta 90.00
_cell_angle_gamma 90.00
_space_group_name_H-M_alt 'P 4/m m m'
_space_group_IT_number 123
_space_group_name_Hall '-P 4 2'
loop_
_atom_site_label
_atom_site_fract_x
_atom_site_fract_y
_atom_site_fract_z
Sr1 0.000 0.500 0.000
La1 0.000 0.000 0.500
Zn1 0.500 0.500 0.500
Ir1 0.000 0.000 0.000
```

Output
**Volume**: 190.19 Å³/cell
**DFT formation energy**: -0.1538 eV per atom
**Mass density**: 4.99 Mg/m³
**Crystal system**: tetragonal

---

## Na2GeS3 (PBE)

Data for a relaxed Na2GeS3 crystal.

```
data_Na2GeS3
_chemical_formula_sum 'Na4 Ge2 S6'
_cell_length_a 3.818
_cell_length_b 12.599
_cell_length_c 6.496
_cell_angle_alpha 90.00
_cell_angle_beta 90.00
_cell_angle_gamma 90.00
_space_group_name_H-M_alt 'I m m 2'
_space_group_IT_number 44
loop_
_space_group_symop_operation_xyz
'x,y,z'
'-x,-y,z'
'-x,y,z'
'x,-y,z'
'x+1/2,y+1/2,z+1/2'
'-x+1/2,-y+1/2,z+1/2'
'-x+1/2,y+1/2,z+1/2'
'x+1/2,-y+1/2,z+1/2'
loop_
_atom_site_label
_atom_site_fract_x
_atom_site_fract_y
_atom_site_fract_z
Na1 0.000 0.161 0.000
Ge1 0.000 0.500 0.967
S1 0.000 0.000 0.691
S2 0.000 0.352 0.797
```

Output
**Volume**: 312.49 Å³/cell
**ΔE_f (raw)**: -4.6 eV per formula unit
**Excess energy over the best structure of this formula in the dataset**: 0.0824 eV per atom
**Mass density**: 2.28 Mg/m³
**Crystal system**: orthorhombic

---

## LaGaIN2 (PBE)

Data for a relaxed LaGaIN2 crystal.

```
data_LaGaIN2
_chemical_formula_sum 'La1 Ga1 I1 N2'
_cell_length_a 4.533
_cell_length_b 4.533
_cell_length_c 5.162
_cell_angle_alpha 90.00
_cell_angle_beta 90.00
_cell_angle_gamma 90.00
_space_group_name_H-M_alt 'P 4/m m m'
_space_group_IT_number 123
_space_group_name_Hall '-P 4 2'
loop_
_atom_site_label
_atom_site_fract_x
_atom_site_fract_y
_atom_site_fract_z
La1 0.000 0.000 0.000
Ga1 0.500 0.500 0.000
I1 0.500 0.500 0.500
N1 0.000 0.500 0.500
```

Output
**Volume**: 106.10 Å³/cell
**ΔE_f (raw)**: 5.9 eV per formula unit
**Excess energy over the best structure of this formula in the dataset**: 0.6796 eV per atom
**Mass density**: 5.69 Mg/m³
**Crystal system**: tetragonal

---

## SmHfCuRu (PBE)

Data for a relaxed SmHfCuRu crystal.

```
data_SmHfCuRu
_chemical_formula_sum 'Sm4 Hf4 Cu4 Ru4'
_cell_length_a 6.752
_cell_length_b 6.752
_cell_length_c 6.752
_cell_angle_alpha 90.00
_cell_angle_beta 90.00
_cell_angle_gamma 90.00
_space_group_name_H-M_alt 'F -4 3 m'
_space_group_IT_number 216
_space_group_name_Hall 'F -4 2 3'
loop_
_atom_site_label
_atom_site_fract_x
_atom_site_fract_y
_atom_site_fract_z
Sm1 0.000 0.000 0.000
Hf1 0.000 0.000 0.500
Cu1 0.250 0.250 0.750
Ru1 0.250 0.250 0.250
```

Output
**Volume**: 307.85 Å³/cell
**DFT formation energy**: -0.2163 eV per atom
**Mass density**: 10.65 Mg/m³
**Crystal system**: cubic

---

## Ca2PRh (PBE)

Data for a relaxed Ca2PRh crystal.

```
data_Ca2PRh
_chemical_formula_sum 'Ca2 P1 Rh1'
_cell_length_a 3.244
_cell_length_b 4.812
_cell_length_c 5.827
_cell_angle_alpha 90.00
_cell_angle_beta 90.00
_cell_angle_gamma 90.00
_space_group_name_H-M_alt 'P m m 2'
_space_group_IT_number 25
loop_
_space_group_symop_operation_xyz
'x,y,z'
'-x,-y,z'
'-x,y,z'
'x,-y,z'
loop_
_atom_site_label
_atom_site_fract_x
_atom_site_fract_y
_atom_site_fract_z
Ca1 0.000 0.000 0.000
Ca2 0.500 0.500 0.458
P1 0.000 0.000 0.502
Rh1 0.500 0.500 0.960
```

Output
**Volume**: 90.97 Å³/cell
**DFT formation energy**: -0.2813 eV per atom
**Mass density**: 3.91 Mg/m³
**Crystal system**: orthorhombic

---

## Na2Si2O5 (PBE)

Data for a relaxed Na2Si2O5 crystal.

```
data_Na2Si2O5
_chemical_formula_sum 'Na4 Si4 O10'
_cell_length_a 9.627
_cell_length_b 3.593
_cell_length_c 6.329
_cell_angle_alpha 90.00
_cell_angle_beta 97.59
_cell_angle_gamma 90.00
_space_group_name_H-M_alt 'C 1 2/m 1'
_space_group_IT_number 12
loop_
_space_group_symop_operation_xyz
'x,y,z'
'-x,-y,-z'
'-x,y,-z'
'x,-y,z'
'x+1/2,y+1/2,z'
'-x+1/2,-y+1/2,-z'
'-x+1/2,y+1/2,-z'
'x+1/2,-y+1/2,z'
loop_
_atom_site_label
_atom_site_fract_x
_atom_site_fract_y
_atom_site_fract_z
Na1 0.121 0.000 0.404
Si1 0.150 0.500 0.897
O1 0.000 0.500 0.000
O2 0.138 0.500 0.641
O3 0.184 0.000 0.953
```

Output
**Volume**: 216.98 Å³/cell
**ΔE_f (raw)**: -20.8 eV per formula unit
**Excess energy over the best structure of this formula in the dataset**: 0.1518 eV per atom
**Mass density**: 2.79 Mg/m³
**Crystal system**: monoclinic

---

## CsAu5 (PBE)

Data for a relaxed CsAu5 crystal.

```
data_CsAu5
_chemical_formula_sum 'Cs2 Au10'
_cell_length_a 5.726
_cell_length_b 16.236
_cell_length_c 3.184
_cell_angle_alpha 90.00
_cell_angle_beta 90.00
_cell_angle_gamma 90.00
_space_group_name_H-M_alt 'C m m m'
_space_group_IT_number 65
_space_group_name_Hall '-C 2 2'
loop_
_atom_site_label
_atom_site_fract_x
_atom_site_fract_y
_atom_site_fract_z
Cs1 0.000 0.000 0.000
Au1 0.000 0.221 0.500
Au2 0.000 0.360 0.000
Au3 0.000 0.500 0.500
```

Output
**Volume**: 295.99 Å³/cell
**DFT formation energy**: 0.1523 eV per atom
**Mass density**: 12.54 Mg/m³
**Crystal system**: orthorhombic

---

## Fe4Au2I (PBE)

Data for a relaxed Fe4Au2I crystal.

```
data_Fe4Au2I
_chemical_formula_sum 'Fe8 Au4 I2'
_cell_length_a 4.693
_cell_length_b 4.693
_cell_length_c 12.984
_cell_angle_alpha 90.00
_cell_angle_beta 90.00
_cell_angle_gamma 90.00
_space_group_name_H-M_alt 'I 4/m m m'
_space_group_IT_number 139
_space_group_name_Hall '-I 4 2'
loop_
_atom_site_label
_atom_site_fract_x
_atom_site_fract_y
_atom_site_fract_z
Fe1 0.000 0.000 0.197
Fe2 0.000 0.500 0.000
Au1 0.000 0.000 0.387
I1 0.000 0.000 0.000
```

Output
**Volume**: 286.02 Å³/cell
**ΔE_f (raw)**: 8.2 eV per formula unit
**Mass density**: 8.64 Mg/m³
**Crystal system**: tetragonal

---

## LiMn2Cu (PBE)

Data for a relaxed LiMn2Cu crystal.

```
data_LiMn2Cu
_chemical_formula_sum 'Li1 Mn2 Cu1'
_cell_length_a 2.727
_cell_length_b 2.727
_cell_length_c 6.476
_cell_angle_alpha 90.00
_cell_angle_beta 90.00
_cell_angle_gamma 90.00
_space_group_name_H-M_alt 'P 4 m m'
_space_group_IT_number 99
loop_
_space_group_symop_operation_xyz
'x,y,z'
'-y,x,z'
'-x,-y,z'
'y,-x,z'
'-x,y,z'
'y,x,z'
'x,-y,z'
'-y,-x,z'
loop_
_atom_site_label
_atom_site_fract_x
_atom_site_fract_y
_atom_site_fract_z
Li1 0.000 0.000 0.000
Mn1 0.000 0.000 0.471
Mn2 0.500 0.500 0.291
Cu1 0.500 0.500 0.742
```

Output
**Volume**: 48.17 Å³/cell
**DFT formation energy**: 0.2462 eV per atom
**Mass density**: 6.22 Mg/m³
**Crystal system**: tetragonal

---

## Al3Ru2 (PBE)

Data for a relaxed Al3Ru2 crystal.

```
data_Al3Ru2
_chemical_formula_sum 'Al9 Ru6'
_cell_length_a 2.8689
_cell_length_b 2.8689
_cell_length_c 30.7245
_cell_angle_alpha 90.00
_cell_angle_beta 90.00
_cell_angle_gamma 120.00
_space_group_name_H-M_alt 'R -3 m'
_space_group_IT_number 166
_space_group_name_Hall '-R 3 2"'
loop_
_atom_site_label
_atom_site_fract_x
_atom_site_fract_y
_atom_site_fract_z
Al1 0.0000 0.0000 0.0000
Al2 0.0000 0.0000 0.2036
Ru1 0.0000 0.0000 0.3989
```

Output
**Volume**: 219.00 Å³/cell
**DFT formation energy**: -0.3287 eV per atom
**Mass density**: 6.44 Mg/m³
**Crystal system**: trigonal

---

## SrCoBr (PBE)

Data for a relaxed SrCoBr crystal.

```
data_SrCoBr
_chemical_formula_sum 'Sr1 Co1 Br1'
_cell_length_a 4.1974
_cell_length_b 4.1974
_cell_length_c 4.3098
_cell_angle_alpha 90.00
_cell_angle_beta 90.00
_cell_angle_gamma 120.00
_space_group_name_H-M_alt 'P -6 m 2'
_space_group_IT_number 187
_space_group_name_Hall 'P -6 2'
loop_
_atom_site_label
_atom_site_fract_x
_atom_site_fract_y
_atom_site_fract_z
Sr1 0.0000 0.0000 0.0000
Co1 0.3333 0.6667 0.5000
Br1 0.6667 0.3333 0.5000
```

Output
**Volume**: 65.76 Å³/cell
**ΔE_f (raw)**: -0.5 eV per formula unit
**Mass density**: 5.72 Mg/m³
**Crystal system**: hexagonal

---

## BaLa3In (PBE)

Data for a relaxed BaLa3In crystal.

```
data_BaLa3In
_chemical_formula_sum 'Ba1 La3 In1'
_cell_length_a 6.188
_cell_length_b 6.188
_cell_length_c 6.188
_cell_angle_alpha 90.00
_cell_angle_beta 90.00
_cell_angle_gamma 90.00
_space_group_name_H-M_alt 'P m -3 m'
_space_group_IT_number 221
_space_group_name_Hall '-P 4 2 3'
loop_
_atom_site_label
_atom_site_fract_x
_atom_site_fract_y
_atom_site_fract_z
Ba1 0.000 0.000 0.000
La1 0.000 0.500 0.500
In1 0.500 0.500 0.500
```

Output
**Volume**: 236.92 Å³/cell
**Excess energy over the best structure of this formula in the dataset**: 0.0000 eV per atom
**DFT formation energy**: 0.1686 eV per atom
**Mass density**: 4.69 Mg/m³
**Crystal system**: cubic

---

## TiZn2Pt3 (PBE)

Data for a relaxed TiZn2Pt3 crystal.

```
data_TiZn2Pt3
_chemical_formula_sum 'Ti2 Zn4 Pt6'
_cell_length_a 4.145
_cell_length_b 11.836
_cell_length_c 3.670
_cell_angle_alpha 90.00
_cell_angle_beta 90.00
_cell_angle_gamma 90.00
_space_group_name_H-M_alt 'C m m m'
_space_group_IT_number 65
_space_group_name_Hall '-C 2 2'
loop_
_atom_site_label
_atom_site_fract_x
_atom_site_fract_y
_atom_site_fract_z
Ti1 0.000 0.000 0.000
Zn1 0.000 0.333 0.000
Pt1 0.000 0.165 0.500
Pt2 0.000 0.500 0.500
```

Output
**Volume**: 180.07 Å³/cell
**Excess energy over the best structure of this formula in the dataset**: 0.0271 eV per atom
**DFT formation energy**: -0.6902 eV per atom
**Mass density**: 14.09 Mg/m³
**Crystal system**: orthorhombic

---

## TiCuP2Cl (PBE)

Data for a relaxed TiCuP2Cl crystal.

```
data_TiCuP2Cl
_chemical_formula_sum 'Ti1 Cu1 P2 Cl1'
_cell_length_a 4.428
_cell_length_b 4.428
_cell_length_c 4.714
_cell_angle_alpha 90.00
_cell_angle_beta 90.00
_cell_angle_gamma 90.00
_space_group_name_H-M_alt 'P 4/m m m'
_space_group_IT_number 123
_space_group_name_Hall '-P 4 2'
loop_
_atom_site_label
_atom_site_fract_x
_atom_site_fract_y
_atom_site_fract_z
Ti1 0.000 0.000 0.000
Cu1 0.500 0.500 0.500
P1 0.000 0.500 0.500
Cl1 0.500 0.500 0.000
```

Output
**Volume**: 92.42 Å³/cell
**ΔE_f (raw)**: 2.6 eV per formula unit
**Excess energy over the best structure of this formula in the dataset**: 0.2787 eV per atom
**Mass density**: 3.75 Mg/m³
**Crystal system**: tetragonal

---

## UPS4I (PBE)

Data for a relaxed UPS4I crystal.

```
data_UPS4I
_chemical_formula_sum 'U4 P4 S16 I4'
_cell_length_a 11.473
_cell_length_b 8.536
_cell_length_c 7.823
_cell_angle_alpha 90.00
_cell_angle_beta 103.81
_cell_angle_gamma 90.00
_space_group_name_H-M_alt 'C 1 2/m 1'
_space_group_IT_number 12
loop_
_space_group_symop_operation_xyz
'x,y,z'
'-x,-y,-z'
'-x,y,-z'
'x,-y,z'
'x+1/2,y+1/2,z'
'-x+1/2,-y+1/2,-z'
'-x+1/2,y+1/2,-z'
'x+1/2,-y+1/2,z'
loop_
_atom_site_label
_atom_site_fract_x
_atom_site_fract_y
_atom_site_fract_z
U1 0.230 0.000 0.128
P1 0.134 0.500 0.272
S1 0.036 0.500 0.697
S2 0.173 0.321 0.104
S3 0.240 0.000 0.495
I1 0.023 0.000 0.776
```

Output
**Volume**: 744.05 Å³/cell
**ΔE_f (raw)**: -3.9 eV per formula unit
**Mass density**: 4.68 Mg/m³
**Crystal system**: monoclinic

---

## NaHgP2S (PBE)

Data for a relaxed NaHgP2S crystal.

```
data_NaHgP2S
_chemical_formula_sum 'Na1 Hg1 P2 S1'
_cell_length_a 5.043
_cell_length_b 5.043
_cell_length_c 5.311
_cell_angle_alpha 90.00
_cell_angle_beta 90.00
_cell_angle_gamma 90.00
_space_group_name_H-M_alt 'P 4/m m m'
_space_group_IT_number 123
_space_group_name_Hall '-P 4 2'
loop_
_atom_site_label
_atom_site_fract_x
_atom_site_fract_y
_atom_site_fract_z
Na1 0.000 0.000 0.000
Hg1 0.500 0.500 0.500
P1 0.000 0.500 0.500
S1 0.500 0.500 0.000
```

Output
**Volume**: 135.09 Å³/cell
**ΔE_f (raw)**: 3.9 eV per formula unit
**Excess energy over the best structure of this formula in the dataset**: 0.0000 eV per atom
**Mass density**: 3.90 Mg/m³
**Crystal system**: tetragonal

---

## LaNiTe2 (PBE)

Data for a relaxed LaNiTe2 crystal.

```
data_LaNiTe2
_chemical_formula_sum 'La2 Ni2 Te4'
_cell_length_a 4.393
_cell_length_b 6.512
_cell_length_c 7.566
_cell_angle_alpha 90.00
_cell_angle_beta 90.00
_cell_angle_gamma 90.00
_space_group_name_H-M_alt 'C m m m'
_space_group_IT_number 65
_space_group_name_Hall '-C 2 2'
loop_
_atom_site_label
_atom_site_fract_x
_atom_site_fract_y
_atom_site_fract_z
La1 0.000 0.000 0.000
Ni1 0.000 0.000 0.500
Te1 0.000 0.500 0.287
```

Output
**Volume**: 216.46 Å³/cell
**ΔE_f (raw)**: -1.9 eV per formula unit
**Mass density**: 6.95 Mg/m³
**Crystal system**: orthorhombic

---

## Pm3CdIr2 (PBE)

Data for a relaxed Pm3CdIr2 crystal.

```
data_Pm3CdIr2
_chemical_formula_sum 'Pm3 Cd1 Ir2'
_cell_length_a 3.603
_cell_length_b 3.603
_cell_length_c 11.102
_cell_angle_alpha 90.00
_cell_angle_beta 90.00
_cell_angle_gamma 90.00
_space_group_name_H-M_alt 'P 4/m m m'
_space_group_IT_number 123
_space_group_name_Hall '-P 4 2'
loop_
_atom_site_label
_atom_site_fract_x
_atom_site_fract_y
_atom_site_fract_z
Pm1 0.000 0.000 0.000
Pm2 0.000 0.000 0.304
Cd1 0.500 0.500 0.500
Ir1 0.500 0.500 0.159
```

Output
**Volume**: 144.10 Å³/cell
**DFT formation energy**: -0.5501 eV per atom
**Mass density**: 10.74 Mg/m³
**Crystal system**: tetragonal

---

## Nd2ZrU2Ru5 (PBE)

Data for a relaxed Nd2ZrU2Ru5 crystal.

```
data_Nd2ZrU2Ru5
_chemical_formula_sum 'Nd4 Zr2 U4 Ru10'
_cell_length_a 10.707
_cell_length_b 10.707
_cell_length_c 3.507
_cell_angle_alpha 90.00
_cell_angle_beta 90.00
_cell_angle_gamma 90.00
_space_group_name_H-M_alt 'P 4/m b m'
_space_group_IT_number 127
_space_group_name_Hall '-P 4 2ab'
loop_
_atom_site_label
_atom_site_fract_x
_atom_site_fract_y
_atom_site_fract_z
Nd1 0.174 0.326 0.000
Zr1 0.000 0.000 0.000
U1 0.139 0.639 0.000
Ru1 0.000 0.500 0.500
Ru2 0.051 0.795 0.500
```

Output
**Volume**: 402.07 Å³/cell
**DFT formation energy**: -0.2203 eV per atom
**Mass density**: 11.24 Mg/m³
**Crystal system**: tetragonal